DyHoTm2Th2: optimized geometry, PBE.

Cell and atoms, written as extended XYZ:
```
12
Lattice="6.505 0.000 0.000 0.000 6.838 0.000 -1.296 0.000 8.555" Properties=species:S:1:pos:R:3 pbc="T T T"
Dy 0.996 1.710 1.269
Dy 4.213 5.129 7.286
Ho 2.518 1.710 4.233
Ho 2.691 5.129 4.322
Tm 0.922 0.004 6.995
Tm 0.922 3.415 6.995
Tm 4.287 3.423 1.560
Tm 4.287 6.834 1.560
Th -0.564 5.129 4.235
Th 1.103 5.129 1.369
Th 4.106 1.710 7.186
Th 5.773 1.710 4.320
```

## Properties
For the magnetic moment, the calculation gives 0.00 μB per cell. As for the formation energy: 0.177 eV per atom. Its space-group type is P2_1/m, No. 11. As for the total energy: -5.317 eV per atom.